DFT (PBE) results for a geometry-optimized LiNdThGe structure.

Structure (CIF):
```
data_LiNdThGe
_chemical_formula_sum 'Li1 Nd1 Th1 Ge1'
_space_group_name_H-M_alt 'P 1'
_space_group_IT_number 1
_cell_length_a 5.199
_cell_length_b 5.199
_cell_length_c 5.199
_cell_angle_alpha 60.00
_cell_angle_beta 60.00
_cell_angle_gamma 60.00
loop_
_space_group_symop_operation_xyz
'x,y,z'
loop_
_atom_site_label
_atom_site_fract_x
_atom_site_fract_y
_atom_site_fract_z
Nd1 0.250 0.250 0.250
Li1 0.000 0.000 0.000
Th1 0.750 0.750 0.750
Ge1 0.500 0.500 0.500
```

## Properties
As for the crystal system: cubic. Its energy is -4.95 eV/atom. The formation enthalpy at 0 K is -268 meV/atom. The density comes out at 7.62 g/cm³.



DFT (PBE) results for a geometry-optimized Nb2CO structure.

Structure (CIF):
```
data_Nb2CO
_chemical_formula_sum 'Nb4 C2 O2'
_space_group_name_H-M_alt 'P 1'
_space_group_IT_number 1
_cell_length_a 4.841
_cell_length_b 4.841
_cell_length_c 5.920
_cell_angle_alpha 65.87
_cell_angle_beta 65.87
_cell_angle_gamma 90.00
loop_
_space_group_symop_operation_xyz
'x,y,z'
loop_
_atom_site_label
_atom_site_fract_x
_atom_site_fract_y
_atom_site_fract_z
O1 0.750 0.250 0.500
O2 0.000 0.000 0.000
Nb1 0.131 0.625 0.250
Nb2 0.619 0.125 0.250
Nb3 0.875 0.869 0.750
Nb4 0.375 0.381 0.750
C1 0.500 0.500 0.000
C2 0.250 0.750 0.500
```

## Properties
As for the crystal system: tetragonal. Its energy is -9.23 eV/atom. The density comes out at 6.27 g/cm³. The calculation puts the raw formation energy at -652 meV per atom.



DFT (PBE) results for a geometry-optimized UCuSi2Pd structure.

Structure (CIF):
```
data_UCuSi2Pd
_chemical_formula_sum 'U1 Cu1 Si2 Pd1'
_space_group_name_H-M_alt 'P 1'
_space_group_IT_number 1
_cell_length_a 4.002
_cell_length_b 4.002
_cell_length_c 5.860
_cell_angle_alpha 109.97
_cell_angle_beta 109.97
_cell_angle_gamma 90.00
loop_
_space_group_symop_operation_xyz
'x,y,z'
loop_
_atom_site_label
_atom_site_fract_x
_atom_site_fract_y
_atom_site_fract_z
Si1 0.613 0.613 0.226
Si2 0.387 0.387 0.774
Cu1 0.250 0.750 0.500
U1 0.000 0.000 0.000
Pd1 0.750 0.250 0.500
```

## Properties
As for the crystal system: tetragonal. Its energy is -6.77 eV/atom. The density comes out at 9.38 g/cm³. The calculation puts the raw formation energy at -482 meV per atom.



DFT (PBE) results for a geometry-optimized TlIn2Hg structure.

Structure (CIF):
```
data_TlIn2Hg
_chemical_formula_sum 'Tl1 In2 Hg1'
_space_group_name_H-M_alt 'P 1'
_space_group_IT_number 1
_cell_length_a 3.338
_cell_length_b 3.338
_cell_length_c 10.680
_cell_angle_alpha 90.00
_cell_angle_beta 90.00
_cell_angle_gamma 109.67
loop_
_space_group_symop_operation_xyz
'x,y,z'
loop_
_atom_site_label
_atom_site_fract_x
_atom_site_fract_y
_atom_site_fract_z
Tl1 0.000 0.000 0.502
Hg1 0.500 0.500 0.757
In1 0.500 0.500 0.243
In2 0.000 0.000 0.998
```

## Properties
As for the crystal system: orthorhombic. Its energy is -2.01 eV/atom. The formation enthalpy at 0 K is 26 meV/atom. The density comes out at 9.40 g/cm³.



DFT (PBE) results for a geometry-optimized CaMn2Te structure.

Structure (CIF):
```
data_CaMn2Te
_chemical_formula_sum 'Ca1 Mn2 Te1'
_space_group_name_H-M_alt 'P 1'
_space_group_IT_number 1
_cell_length_a 4.989
_cell_length_b 4.989
_cell_length_c 4.989
_cell_angle_alpha 60.00
_cell_angle_beta 60.00
_cell_angle_gamma 60.00
loop_
_space_group_symop_operation_xyz
'x,y,z'
loop_
_atom_site_label
_atom_site_fract_x
_atom_site_fract_y
_atom_site_fract_z
Mn1 0.250 0.250 0.250
Mn2 0.000 0.000 0.000
Ca1 0.500 0.500 0.500
Te1 0.750 0.750 0.750
```

## Properties
As for the crystal system: cubic. Its energy is -5.57 eV/atom. The density comes out at 5.25 g/cm³. The calculation puts the raw formation energy at 297 meV per atom.



DFT (PBE) results for a geometry-optimized Mg2CdPt structure.

Structure (CIF):
```
data_Mg2CdPt
_chemical_formula_sum 'Mg2 Cd1 Pt1'
_space_group_name_H-M_alt 'P 1'
_space_group_IT_number 1
_cell_length_a 9.655
_cell_length_b 9.655
_cell_length_c 9.655
_cell_angle_alpha 18.22
_cell_angle_beta 18.22
_cell_angle_gamma 18.22
loop_
_space_group_symop_operation_xyz
'x,y,z'
loop_
_atom_site_label
_atom_site_fract_x
_atom_site_fract_y
_atom_site_fract_z
Mg1 0.990 0.990 0.990
Mg2 0.510 0.510 0.510
Cd1 0.750 0.750 0.750
Pt1 0.250 0.250 0.250
```

## Properties
As for the crystal system: trigonal. Its energy is -2.84 eV/atom. The formation enthalpy at 0 K is -302 meV/atom. The density comes out at 7.69 g/cm³.



The highest density belongs to which entry? TlIn2Hg



What is the density in the third record? 9.38 g/cm³



What is the density in the fifth record? 5.25 g/cm³



Repeat the fifth record exactly.
DFT (PBE) results for a geometry-optimized CaMn2Te structure.

Structure (CIF):
```
data_CaMn2Te
_chemical_formula_sum 'Ca1 Mn2 Te1'
_space_group_name_H-M_alt 'P 1'
_space_group_IT_number 1
_cell_length_a 4.989
_cell_length_b 4.989
_cell_length_c 4.989
_cell_angle_alpha 60.00
_cell_angle_beta 60.00
_cell_angle_gamma 60.00
loop_
_space_group_symop_operation_xyz
'x,y,z'
loop_
_atom_site_label
_atom_site_fract_x
_atom_site_fract_y
_atom_site_fract_z
Mn1 0.250 0.250 0.250
Mn2 0.000 0.000 0.000
Ca1 0.500 0.500 0.500
Te1 0.750 0.750 0.750
```

## Properties
As for the crystal system: cubic. Its energy is -5.57 eV/atom. The density comes out at 5.25 g/cm³. The calculation puts the raw formation energy at 297 meV per atom.